1.
First-principles (PBE) data for an optimized crystal structure of Li2Nd2YPb2, as listed in the Alexandria database.

Summary:
- Crystal system: trigonal
- ρ: 7.07 g/cm³
- Energy relative to the elements: -0.343 eV/atom

```
data_Li2Nd2YPb2
_chemical_formula_sum 'Li6 Nd6 Y3 Pb6'
_cell_length_a 4.8508
_cell_length_b 4.8508
_cell_length_c 27.8750
_cell_angle_alpha 90.00
_cell_angle_beta 90.00
_cell_angle_gamma 120.00
_space_group_name_H-M_alt 'R -3 m'
_space_group_IT_number 166
_space_group_name_Hall '-R 3 2"'
loop_
_atom_site_label
_atom_site_fract_x
_atom_site_fract_y
_atom_site_fract_z
Li1 0.0000 0.0000 0.1035
Nd1 0.0000 0.0000 0.3719
Y1 0.0000 0.0000 0.5000
Pb1 0.0000 0.0000 0.2326
```


2.
First-principles (PBE) data for an optimized crystal structure of Fe2Ni3Pt4, as listed in the Alexandria database.

Summary:
- Crystal system: monoclinic
- ρ: 14.64 g/cm³
- Energy relative to the elements: -0.184 eV/atom

```
data_Fe2Ni3Pt4
_chemical_formula_sum 'Fe4 Ni6 Pt8'
_cell_length_a 8.3150
_cell_length_b 3.8246
_cell_length_c 7.9509
_cell_angle_alpha 90.00
_cell_angle_beta 106.57
_cell_angle_gamma 90.00
_space_group_name_H-M_alt 'C 1 2/m 1'
_space_group_IT_number 12
loop_
_space_group_symop_operation_xyz
'x,y,z'
'-x,-y,-z'
'-x,y,-z'
'x,-y,z'
'x+1/2,y+1/2,z'
'-x+1/2,-y+1/2,-z'
'-x+1/2,y+1/2,-z'
'x+1/2,-y+1/2,z'
loop_
_atom_site_label
_atom_site_fract_x
_atom_site_fract_y
_atom_site_fract_z
Fe1 0.1710 0.0000 0.2275
Ni1 0.0000 0.5000 0.0000
Ni2 0.1660 0.0000 0.5484
Pt1 0.0078 0.5000 0.3347
Pt2 0.1651 0.0000 0.8880
```


3.
First-principles (PBE) data for an optimized crystal structure of Na4MgNp3Se8, as listed in the Alexandria database.

Summary:
- Crystal system: trigonal
- ρ: 5.85 g/cm³
- E_tot: -5.80 eV/atom

```
data_Na4MgNp3Se8
_chemical_formula_sum 'Na12 Mg3 Np9 Se24'
_cell_length_a 8.2921
_cell_length_b 8.2921
_cell_length_c 20.8632
_cell_angle_alpha 90.00
_cell_angle_beta 90.00
_cell_angle_gamma 120.00
_space_group_name_H-M_alt 'R -3 m'
_space_group_IT_number 166
_space_group_name_Hall '-R 3 2"'
loop_
_atom_site_label
_atom_site_fract_x
_atom_site_fract_y
_atom_site_fract_z
Na1 0.0000 0.0000 0.0000
Na2 0.0000 0.5000 0.0000
Mg1 0.0000 0.0000 0.5000
Np1 0.0000 0.5000 0.5000
Se1 0.0000 0.0000 0.2436
Se2 0.0055 0.5027 0.2420
```


4.
First-principles (PBE) data for an optimized crystal structure of TaReTeI2, as listed in the Alexandria database.

Summary:
- Excess energy over the best structure of this formula in the dataset: 0.000 eV per atom
- Crystal system: tetragonal
- ρ: 7.38 g/cm³

```
data_TaReTeI2
_chemical_formula_sum 'Ta1 Re1 Te1 I2'
_cell_length_a 5.5751
_cell_length_b 5.5751
_cell_length_c 5.4157
_cell_angle_alpha 90.00
_cell_angle_beta 90.00
_cell_angle_gamma 90.00
_space_group_name_H-M_alt 'P 4/m m m'
_space_group_IT_number 123
_space_group_name_Hall '-P 4 2'
loop_
_atom_site_label
_atom_site_fract_x
_atom_site_fract_y
_atom_site_fract_z
Ta1 0.0000 0.0000 0.0000
Re1 0.5000 0.5000 0.5000
Te1 0.0000 0.0000 0.5000
I1 0.0000 0.5000 0.0000
```


5.
First-principles (PBE) data for an optimized crystal structure of Be2TlSeO6, as listed in the Alexandria database.

Summary:
- Crystal system: monoclinic
- ρ: 5.57 g/cm³
- E_tot: -5.60 eV/atom

```
data_Be2TlSeO6
_chemical_formula_sum 'Be8 Tl4 Se4 O24'
_cell_length_a 10.1705
_cell_length_b 8.9820
_cell_length_c 5.7661
_cell_angle_alpha 90.00
_cell_angle_beta 115.99
_cell_angle_gamma 90.00
_space_group_name_H-M_alt 'C 1 2/c 1'
_space_group_IT_number 15
loop_
_space_group_symop_operation_xyz
'x,y,z'
'-x,-y,-z'
'-x,y,-z+1/2'
'x,-y,z+1/2'
'x+1/2,y+1/2,z'
'-x+1/2,-y+1/2,-z'
'-x+1/2,y+1/2,-z+1/2'
'x+1/2,-y+1/2,z+1/2'
loop_
_atom_site_label
_atom_site_fract_x
_atom_site_fract_y
_atom_site_fract_z
Be1 0.1962 0.0668 0.1599
Tl1 0.0000 0.4032 0.2500
Se1 0.0000 0.1936 0.7500
O1 0.0807 0.2020 0.1078
O2 0.1327 0.4083 0.6850
O3 0.1482 0.0612 0.8242
```


6.
First-principles (PBE) data for an optimized crystal structure of Zr3PaTe6, as listed in the Alexandria database.

Summary:
- Crystal system: monoclinic
- ρ: 7.49 g/cm³
- E_tot: -6.21 eV/atom

```
data_Zr3PaTe6
_chemical_formula_sum 'Zr6 Pa2 Te12'
_cell_length_a 11.9091
_cell_length_b 4.0192
_cell_length_c 12.4011
_cell_angle_alpha 90.00
_cell_angle_beta 108.48
_cell_angle_gamma 90.00
_space_group_name_H-M_alt 'P 1 21/m 1'
_space_group_IT_number 11
loop_
_space_group_symop_operation_xyz
'x,y,z'
'-x,-y,-z'
'-x,y+1/2,-z'
'x,-y+1/2,z'
loop_
_atom_site_label
_atom_site_fract_x
_atom_site_fract_y
_atom_site_fract_z
Zr1 0.0558 0.2500 0.1321
Zr2 0.1813 0.7500 0.5126
Zr3 0.3847 0.2500 0.9300
Pa1 0.4484 0.2500 0.2918
Te1 0.0148 0.2500 0.3757
Te2 0.1255 0.2500 0.9256
Te3 0.2262 0.7500 0.2833
Te4 0.3069 0.7500 0.7528
Te5 0.3799 0.2500 0.5307
Te6 0.3824 0.7500 0.0948
```